# PBE Ac2CdGaPd6, relaxed
data_Ac2CdGaPd6
_cell_length_a 6.7295
_cell_length_b 6.7295
_cell_length_c 8.7844
_cell_angle_alpha 128.44
_cell_angle_beta 128.44
_cell_angle_gamma 49.40
_symmetry_space_group_name_H-M 'P 1'
_symmetry_Int_Tables_number 1
_symmetry_space_group_name_Hall 'P 1'
loop_
_atom_site_label
_atom_site_type_symbol
_atom_site_fract_x
_atom_site_fract_y
_atom_site_fract_z
_atom_site_occupancy
Ac1 Ac 0.2490 0.2490 0.2159 1
Ac2 Ac 0.7510 0.7510 0.7841 1
Cd1 Cd 0.5000 0.5000 0.0000 1
Ga1 Ga 0.0000 0.0000 0.5000 1
Pd1 Pd 0.2457 0.7443 0.2589 1
Pd2 Pd 0.2481 0.2481 0.5838 1
Pd3 Pd 0.2557 0.7543 0.7411 1
Pd4 Pd 0.7443 0.2457 0.2589 1
Pd5 Pd 0.7519 0.7519 0.4162 1
Pd6 Pd 0.7543 0.2557 0.7411 1
# Theoretical density = 9.6 g/cm³
# Total energy = -5.0080 eV per atom
# SG = C2/m, No. 12